1.
Ca4ScI2 (GGA-PBE, optimized geometry); energy = -17.1 eV for the cell shown; space group = I4/mmm (139); Fermi-level density of states = 1.13 states/eV per atom
1.0
6.273 0.000 0.000
0.000 6.273 0.000
3.136 3.136 8.161
Ca Sc I
4 1 2
Cartesian
0.000 3.136 0.000
6.273 6.273 3.222
3.136 0.000 0.000
3.136 3.136 4.939
0.000 0.000 0.000
3.136 3.136 1.887
6.273 6.273 6.274

2.
Pm2YIn4 (GGA-PBE, optimized geometry); space group = I4/mmm (139); Fermi-level density of states = 0.74 states/eV per atom; energy relative to the elements = -2.33 eV per formula unit
1.0
5.046 0.000 -1.608
-0.513 5.019 -1.608
-0.121 -0.134 8.338
Pm In Y
2 4 1
Cartesian
1.080 1.196 3.387
3.332 3.690 1.735
3.001 0.529 0.695
1.411 4.356 4.426
0.222 3.039 0.695
4.190 1.846 4.426
0.000 0.000 0.000

3.
MnTlOs2 (GGA-PBE, optimized geometry); space group = Cmmm (65); Fermi-level density of states = 0.99 states/eV per atom; energy relative to the elements = 3.12 eV per formula unit
1.0
-1.558 2.292 -0.450
-0.350 -1.343 2.441
6.775 5.376 3.928
Tl Os Mn
1 2 1
Cartesian
0.740 1.819 1.977
6.541 5.191 3.793
3.621 2.874 2.100
4.127 4.507 3.942

4.
Tb11Tm9Th4 (GGA-PBE, optimized geometry); space group = Cmmm (65); Fermi-level density of states = 1.45 states/eV per atom; energy relative to the elements = 2.69 eV per formula unit
1.0
3.673 0.000 0.000
0.000 13.888 -5.883
0.000 0.048 15.082
Tm Tb Th
9 11 4
Cartesian
1.837 6.968 4.600
1.837 5.109 10.486
1.837 11.650 0.577
1.837 2.933 -0.255
1.837 2.286 8.622
1.837 8.827 -1.287
1.837 0.918 2.797
1.837 11.003 9.455
1.837 13.018 6.402
0.000 5.089 7.447
0.000 3.980 2.627
0.000 13.285 3.319
0.000 9.956 6.572
0.000 11.691 -2.554
0.000 8.273 10.912
0.000 5.663 -1.712
0.000 0.651 5.880
0.000 0.000 0.000
0.000 2.245 11.754
0.000 8.847 1.753
1.837 6.198 1.058
1.837 3.408 5.284
1.837 7.738 8.142
1.837 10.527 3.916

5.
Na5Zr3S8 (GGA-PBE, optimized geometry); energy = -88.2 eV for the cell shown; space group = R-3m (166); Fermi-level density of states = 0.26 states/eV per atom
1.0
-3.970 4.705 4.484
-6.474 3.115 -2.531
-6.911 -2.573 3.049
Zr S Na
3 8 5
Cartesian
-5.441 1.066 3.767
-6.692 0.271 0.259
-3.455 -1.286 1.525
-4.434 1.168 1.317
-9.750 5.139 2.314
-9.692 2.583 5.047
-6.346 3.501 3.645
-11.009 1.746 1.358
-12.921 4.079 3.686
-7.604 0.108 2.689
-7.662 2.664 -0.044
-8.677 2.624 2.501
-5.222 3.910 0.977
0.000 0.000 0.000
-3.237 1.557 -1.266
-1.985 2.353 2.242

6.
MnSn (GGA-PBE, optimized geometry); space group = Amm2 (38); Fermi-level density of states = 0.63 states/eV per atom; energy relative to the elements = 0.35 eV per formula unit
1.0
-3.528 -2.225 0.449
2.370 -2.274 7.347
-3.009 5.299 2.611
Mn Sn
6 6
Cartesian
-1.203 -0.518 7.571
-3.101 2.510 7.656
-1.642 3.842 6.126
-2.782 0.997 2.677
-1.323 2.330 1.148
-3.892 3.269 5.203
0.867 -0.208 5.781
-1.822 3.579 3.413
-0.376 2.191 7.897
-0.056 0.678 2.918
-2.400 0.957 5.478
-2.080 -0.555 0.499

7.
TaPb3 (GGA-PBE, optimized geometry); space group = Fm-3m (225); Fermi-level density of states = 0.82 states/eV per atom; energy relative to the elements = 3.17 eV per formula unit
1.0
-2.038 3.044 -3.862
-1.805 -2.237 -4.480
-5.227 -0.113 -0.999
Pb Ta
3 1
Cartesian
0.000 0.000 0.000
-2.268 0.173 -2.335
-4.535 0.347 -4.670
-6.803 0.520 -7.006

8.
Cs2ZnSn3Se8 (GGA-PBE, optimized geometry); energy = -210.0 eV for the cell shown; space group = P2_12_12_1 (19)
1.0
7.929 0.000 0.000
0.000 13.565 0.000
0.000 0.000 18.845
Cs Se Sn Zn
8 32 12 4
Cartesian
2.079 11.735 17.810
6.326 4.126 3.105
5.849 4.953 10.457
1.885 1.830 8.388
1.603 10.908 6.318
5.567 9.440 12.527
2.362 2.657 15.740
6.044 8.613 1.035
2.293 4.923 2.692
4.023 8.190 8.738
4.245 5.584 13.794
5.954 5.033 6.703
3.904 1.516 4.699
7.869 5.267 14.145
6.257 1.860 16.152
6.170 11.907 17.797
5.802 1.630 12.304
3.671 11.986 10.460
1.837 5.152 6.541
3.684 12.367 14.473
7.870 5.375 18.161
2.206 8.441 1.048
1.975 11.816 2.720
0.060 12.050 14.122
1.989 1.749 12.142
1.758 5.124 10.471
5.939 8.532 16.125
2.127 8.413 15.964
3.905 1.407 0.684
0.059 12.158 10.106
1.671 8.643 12.115
0.293 1.579 1.038
5.722 1.658 8.374
5.636 11.705 6.730
4.024 8.298 4.723
0.281 1.198 5.051
6.091 11.935 2.881
4.257 5.203 17.807
7.635 8.362 8.385
7.648 7.981 4.372
3.994 13.342 2.744
1.988 6.174 12.868
3.935 6.560 6.679
7.899 0.223 12.166
5.940 12.956 15.399
1.699 7.619 9.718
0.030 7.006 16.101
1.976 7.392 3.446
2.265 5.947 0.296
6.229 0.836 18.549
5.664 12.729 9.127
5.952 0.609 5.977
7.821 6.696 6.529
4.072 6.870 15.952
0.108 13.478 2.893
3.856 0.087 12.315

9.
LaCr2Co (GGA-PBE, optimized geometry); space group = C2/m (12); Fermi-level density of states = 1.21 states/eV per atom; energy relative to the elements = 1.88 eV per formula unit
1.0
4.703 -0.021 0.025
3.748 2.841 0.025
0.976 0.326 5.198
Co Cr La
1 2 1
Cartesian
2.357 0.786 1.312
8.278 2.762 0.709
4.887 1.630 1.964
7.070 2.359 3.935

10.
ZrP2SI (GGA-PBE, optimized geometry); energy = -24.1 eV for the cell shown; space group = P4/mmm (123); Fermi-level density of states = 0.96 states/eV per atom
1.0
-1.055 -1.253 4.953
-1.461 -4.772 -1.519
4.547 -1.574 0.571
P I S Zr
2 1 1 1
Cartesian
-0.730 -2.386 -0.759
-0.528 -0.626 2.476
1.016 -3.799 2.003
2.274 -0.787 0.285
0.000 0.000 0.000

11.
SrCa2Ta (GGA-PBE, optimized geometry); space group = Immm (71); Fermi-level density of states = 0.99 states/eV per atom; energy relative to the elements = 2.95 eV per formula unit
1.0
7.225 -0.007 0.001
3.735 6.184 -0.001
-4.596 -4.657 3.063
Ta Ca Sr
1 2 1
Cartesian
2.310 2.308 1.531
0.429 0.242 0.000
5.051 2.847 0.000
4.054 -0.787 1.532

12.
Zn8Cu3Rh2 (GGA-PBE, optimized geometry); space group = R-3m (166); Fermi-level density of states = 0.61 states/eV per atom; energy relative to the elements = 0.67 eV per formula unit
1.0
-0.499 -4.733 -1.078
2.528 -1.940 -3.695
7.628 -4.287 4.248
Zn Cu Rh
8 3 2
Cartesian
6.968 -5.697 -0.301
7.814 -8.389 0.086
5.700 -4.724 1.552
2.690 -5.263 -0.224
5.450 -7.097 1.012
4.207 -3.863 -1.537
3.957 -6.236 -2.077
1.843 -2.571 -0.611
3.780 -3.145 1.016
5.877 -7.815 -1.541
0.000 0.000 0.000
2.011 -4.644 -2.629
7.646 -6.316 2.104

13.
Sc3TiNb (GGA-PBE, optimized geometry); space group = Pm-3m (221); Fermi-level density of states = 2.19 states/eV per atom; energy relative to the elements = 4.29 eV per formula unit
1.0
5.006 0.000 0.000
0.000 5.006 0.000
0.000 0.000 5.006
Sc Ti Nb
3 1 1
Cartesian
0.000 2.503 0.000
0.000 0.000 2.503
2.503 0.000 0.000
2.503 2.503 2.503
0.000 0.000 0.000

14.
PuCdBiCl (GGA-PBE, optimized geometry); energy = -22.9 eV for the cell shown; space group = F-43m (216); Fermi-level density of states = 2.50 states/eV per atom
1.0
5.330 0.000 0.000
2.665 4.616 0.000
2.665 1.539 4.352
Cd Cl Pu Bi
1 1 1 1
Cartesian
0.000 0.000 0.000
2.665 1.539 1.088
5.330 3.077 2.176
7.994 4.616 3.264

15.
LiTa2Cl (GGA-PBE, optimized geometry); energy = -27.8 eV for the cell shown; space group = Amm2 (38); Fermi-level density of states = 0.81 states/eV per atom
1.0
-0.522 -2.904 1.510
1.036 -1.658 -2.831
6.621 -0.781 0.790
Ta Cl Li
2 1 1
Cartesian
1.551 -2.375 -0.393
0.084 -0.103 -0.170
4.187 -0.904 -0.291
5.141 -3.179 -0.698

16.
Zr3TiP (GGA-PBE, optimized geometry); space group = Pm-3m (221); Fermi-level density of states = 0.87 states/eV per atom; energy relative to the elements = -0.84 eV per formula unit
1.0
-1.515 -3.286 -3.279
4.269 0.367 -2.341
1.822 -3.593 2.759
Zr Ti P
3 1 1
Cartesian
0.911 -1.797 1.379
2.135 0.184 -1.170
-0.758 -1.643 -1.639
2.288 -3.256 -1.430
0.000 0.000 0.000

17.
BaPr2Hg2Pb2 (GGA-PBE, optimized geometry); space group = R-3m (166); Fermi-level density of states = 1.10 states/eV per atom; energy relative to the elements = -2.46 eV per formula unit
1.0
5.278 0.000 0.000
2.639 4.571 0.000
2.639 1.524 9.805
Pr Pb Hg Ba
2 2 2 1
Cartesian
7.917 4.571 3.955
2.639 1.524 5.850
7.917 4.571 7.614
2.639 1.524 2.190
5.278 3.047 6.712
5.278 3.047 3.092
0.000 0.000 0.000

18.
Ho4In5Hg2 (GGA-PBE, optimized geometry); space group = P2/m (10); Fermi-level density of states = 0.68 states/eV per atom; energy relative to the elements = -4.40 eV per formula unit
1.0
-0.001 -2.969 -1.899
-2.918 -3.969 6.207
-9.053 2.444 -3.814
In Ho Hg
5 4 2
Cartesian
-4.369 -1.437 2.249
-7.602 -0.088 0.143
-1.459 -1.985 3.103
-10.017 -1.191 1.868
-1.955 -0.335 0.524
-7.210 -3.027 1.466
-8.518 -0.029 -3.220
-4.762 -1.467 -0.973
-3.454 -4.466 3.713
-5.977 1.288 -2.010
-5.994 -2.814 4.402

19.
CdInGaS4 (GGA-PBE, optimized geometry); energy = -25.6 eV for the cell shown; space group = P3m1 (156); Fermi-level density of states = 0.41 states/eV per atom
1.0
-2.921 0.338 2.802
-0.800 -1.776 -3.564
3.312 -11.113 4.794
S In Ga Cd
4 1 1 1
Cartesian
-1.195 -2.120 -0.990
0.568 -8.035 1.562
1.135 -3.808 1.643
0.779 -10.409 5.012
1.247 -10.314 2.545
-0.642 -3.974 -0.190
1.804 -6.053 2.611

20.
Ba8CdN2 (GGA-PBE, optimized geometry); energy = -35.4 eV for the cell shown; space group = C2/m (12); Fermi-level density of states = 0.84 states/eV per atom
1.0
7.845 0.340 0.258
0.483 9.494 1.171
0.483 3.684 8.828
Ba N Cd
8 2 1
Cartesian
2.649 6.434 8.328
2.649 9.753 3.954
2.162 4.343 3.295
5.527 2.466 1.871
3.284 11.052 8.386
6.163 7.085 1.930
6.649 9.176 6.962
6.163 3.766 6.303
5.833 11.045 8.380
2.978 2.474 1.877
0.000 0.000 0.000